Here is YGaBi2P after structural relaxation from Alexandria via LeMat-Bulk. Energies are from PBE-GGA.

Computed properties:
Fermi-level density of states = 3.6 states/eV/cell
density = 7.085 Mg/m³
spin magnetization = 0.0 μB/cell
E_form = 5.27 kcal/mol of atoms

Structure (CIF):
```
data_YGaBi2P
_chemical_formula_sum 'Y1 Ga1 Bi2 P1'
_cell_length_a 5.5739
_cell_length_b 5.5739
_cell_length_c 4.5831
_cell_angle_alpha 90.00
_cell_angle_beta 90.00
_cell_angle_gamma 90.00
_space_group_name_H-M_alt 'P 4/m m m'
_space_group_IT_number 123
_space_group_name_Hall '-P 4 2'
loop_
_atom_site_label
_atom_site_type_symbol
_atom_site_fract_x
_atom_site_fract_y
_atom_site_fract_z
Y1 Y 0.0000 0.0000 0.0000
Ga1 Ga 0.5000 0.5000 0.5000
Bi1 Bi 0.0000 0.5000 0.5000
P1 P 0.5000 0.5000 0.0000
```